No. 1
! Ge2Sb2Se PBE optimized geometry; values from VASP
! VASP energy: -39.39 eV/cell
! space-group type: P4/mbm
! E above lowest polymorph: 0.30 eV per formula unit
! formation energy without anion corrections: 1.270 eV/f.u.
&SYSTEM
  ibrav = 0, nat = 10, ntyp = 3
/
ATOMIC_SPECIES
Ge 72.64 Ge.upf
Sb 121.76 Sb.upf
Se 78.96 Se.upf
CELL_PARAMETERS angstrom
7.988 0.000 0.000
0.000 7.988 0.000
0.000 0.000 3.996
ATOMIC_POSITIONS crystal
Ge 0.115 0.385 0.000
Ge 0.385 0.885 0.000
Ge 0.615 0.115 0.000
Ge 0.885 0.615 0.000
Sb 0.201 0.701 0.500
Sb 0.299 0.201 0.500
Sb 0.701 0.799 0.500
Sb 0.799 0.299 0.500
Se 0.000 0.000 0.500
Se 0.500 0.500 0.500


No. 2
! GeSbSe3 PBE optimized geometry; values from VASP
! VASP energy: -39.97 eV/cell
! space-group type: P2_1/m
! E above lowest polymorph: 0.00 eV per formula unit
! formation energy without anion corrections: -0.790 eV/f.u.
&SYSTEM
  ibrav = 0, nat = 10, ntyp = 3
/
ATOMIC_SPECIES
Ge 72.64 Ge.upf
Sb 121.76 Sb.upf
Se 78.96 Se.upf
CELL_PARAMETERS angstrom
7.388 0.000 0.000
0.000 4.821 0.000
-2.414 0.000 9.294
ATOMIC_POSITIONS crystal
Ge 0.094 0.250 0.119
Ge 0.906 0.750 0.881
Sb 0.295 0.250 0.546
Sb 0.705 0.750 0.454
Se 0.024 0.750 0.667
Se 0.205 0.750 0.076
Se 0.492 0.250 0.352
Se 0.508 0.750 0.648
Se 0.795 0.250 0.924
Se 0.976 0.250 0.333


No. 3
! Ge2SbSe4 PBE optimized geometry; values from VASP
! VASP energy: -27.86 eV/cell
! space-group type: I4/m
! E above lowest polymorph: 0.65 eV per formula unit
! formation energy without anion corrections: -0.569 eV/f.u.
&SYSTEM
  ibrav = 0, nat = 7, ntyp = 3
/
ATOMIC_SPECIES
Ge 72.64 Ge.upf
Sb 121.76 Sb.upf
Se 78.96 Se.upf
CELL_PARAMETERS angstrom
-3.857 3.857 3.285
3.857 -3.857 3.285
3.857 3.857 -3.285
ATOMIC_POSITIONS crystal
Ge 0.250 0.750 0.500
Ge 0.750 0.250 0.500
Sb 0.000 0.000 0.000
Se 0.181 0.672 0.854
Se 0.328 0.181 0.509
Se 0.672 0.819 0.491
Se 0.819 0.328 0.146


No. 4
! GeSb2Se PBE optimized geometry; values from VASP
! VASP energy: -30.93 eV/cell
! space-group type: I-42d
! E above lowest polymorph: 0.00 eV per formula unit
! formation energy without anion corrections: 0.881 eV/f.u.
&SYSTEM
  ibrav = 0, nat = 8, ntyp = 3
/
ATOMIC_SPECIES
Ge 72.64 Ge.upf
Sb 121.76 Sb.upf
Se 78.96 Se.upf
CELL_PARAMETERS angstrom
-3.592 3.592 4.822
3.592 -3.592 4.822
3.592 3.592 -4.822
ATOMIC_POSITIONS crystal
Ge 0.000 0.000 0.000
Ge 0.750 0.250 0.500
Sb 0.108 0.625 0.983
Sb 0.375 0.358 0.483
Sb 0.642 0.125 0.017
Sb 0.875 0.892 0.517
Se 0.250 0.750 0.500
Se 0.500 0.500 0.000


No. 5
! Ge2SbSe3 PBE optimized geometry; values from VASP
! VASP energy: -49.48 eV/cell
! space-group type: P2_1/m
! formation energy without anion corrections: -0.930 eV/f.u.
&SYSTEM
  ibrav = 0, nat = 12, ntyp = 3
/
ATOMIC_SPECIES
Ge 72.64 Ge.upf
Sb 121.76 Sb.upf
Se 78.96 Se.upf
CELL_PARAMETERS angstrom
8.159 0.000 0.000
0.000 3.741 0.000
-0.164 0.000 11.024
ATOMIC_POSITIONS crystal
Ge 0.005 0.250 0.136
Ge 0.363 0.750 0.546
Ge 0.637 0.250 0.454
Ge 0.995 0.750 0.864
Sb 0.240 0.750 0.297
Sb 0.760 0.250 0.703
Se 0.177 0.250 0.599
Se 0.184 0.250 0.948
Se 0.454 0.250 0.235
Se 0.546 0.750 0.765
Se 0.816 0.750 0.052
Se 0.823 0.750 0.401


No. 6
! Ge2SbSe PBE optimized geometry; values from VASP
! VASP energy: -16.65 eV/cell
! space-group type: R3m
! E above lowest polymorph: 0.00 eV per formula unit
! formation energy without anion corrections: 0.188 eV/f.u.
&SYSTEM
  ibrav = 0, nat = 4, ntyp = 3
/
ATOMIC_SPECIES
Ge 72.64 Ge.upf
Sb 121.76 Sb.upf
Se 78.96 Se.upf
CELL_PARAMETERS angstrom
1.920 1.108 8.030
-1.920 1.108 8.030
0.000 -2.217 8.030
ATOMIC_POSITIONS crystal
Ge 0.000 0.000 0.000
Ge 0.168 0.168 0.168
Sb 0.435 0.435 0.435
Se 0.608 0.608 0.608


No. 7
! GeSb3Se6 PBE optimized geometry; values from VASP
! VASP energy: -39.61 eV/cell
! space-group type: R3
! E above lowest polymorph: 0.00 eV per formula unit
! formation energy without anion corrections: -1.714 eV/f.u.
&SYSTEM
  ibrav = 0, nat = 10, ntyp = 3
/
ATOMIC_SPECIES
Ge 72.64 Ge.upf
Sb 121.76 Sb.upf
Se 78.96 Se.upf
CELL_PARAMETERS angstrom
3.515 2.030 7.395
-3.515 2.030 7.395
0.000 -4.059 7.395
ATOMIC_POSITIONS crystal
Ge 0.000 0.000 0.000
Sb 0.322 0.322 0.322
Sb 0.494 0.494 0.494
Sb 0.822 0.822 0.822
Se 0.101 0.343 0.721
Se 0.216 0.847 0.613
Se 0.343 0.721 0.101
Se 0.613 0.216 0.847
Se 0.721 0.101 0.343
Se 0.847 0.613 0.216


No. 8
! Ge2SbSe PBE optimized geometry; values from VASP
! VASP energy: -15.95 eV/cell
! space-group type: R-3m
! E above lowest polymorph: 0.70 eV per formula unit
! formation energy without anion corrections: 0.888 eV/f.u.
&SYSTEM
  ibrav = 0, nat = 4, ntyp = 3
/
ATOMIC_SPECIES
Ge 72.64 Ge.upf
Sb 121.76 Sb.upf
Se 78.96 Se.upf
CELL_PARAMETERS angstrom
2.167 1.251 7.683
-2.167 1.251 7.683
0.000 -2.502 7.683
ATOMIC_POSITIONS crystal
Ge 0.104 0.104 0.104
Ge 0.896 0.896 0.896
Sb 0.500 0.500 0.500
Se 0.000 0.000 0.000